Record 1
The following is a DFT calculation (PBE-GGA) of CePm2Gd after structural relaxation.

- Crystal system: tetragonal
- Energy of formation from the pure elements: 0.3 eV/f.u.
- Symmetry: P4/mmm
- Energy above the lowest structure with this stoichiometry: 0.06 eV per formula unit
- VASP energy: -7.30 eV/atom

abc: 5.0845 5.0845 5.0903
angles: 90.00 90.00 90.00
Fractional coordinates of all 4 atoms:
Ce  0.0000  0.0000  0.0000
Pm  0.0000  0.5000  0.5000
Pm  0.5000  0.0000  0.5000
Gd  0.5000  0.5000  0.0000

Record 2
The following is a DFT calculation (PBE-GGA) of DyHo2Pb after structural relaxation.

- Crystal system: tetragonal
- Energy of formation from the pure elements: -0.8 eV/f.u.
- Symmetry: P4/mmm
- Energy above the lowest structure with this stoichiometry: 0.26 eV per formula unit
- VASP energy: -4.57 eV/atom

abc: 3.6211 3.6211 9.1954
angles: 90.00 90.00 90.00
Fractional coordinates of all 4 atoms:
Dy  0.0000  0.0000  0.0000
Ho  0.5000  0.5000  0.2642
Ho  0.5000  0.5000  0.7358
Pb  0.0000  0.0000  0.5000

> Which formula does entry 2 have?

DyHo2Pb

Repeat the second record exactly.
The following is a DFT calculation (PBE-GGA) of DyHo2Pb after structural relaxation.

- Crystal system: tetragonal
- Energy of formation from the pure elements: -0.8 eV/f.u.
- Symmetry: P4/mmm
- Energy above the lowest structure with this stoichiometry: 0.26 eV per formula unit
- VASP energy: -4.57 eV/atom

abc: 3.6211 3.6211 9.1954
angles: 90.00 90.00 90.00
Fractional coordinates of all 4 atoms:
Dy  0.0000  0.0000  0.0000
Ho  0.5000  0.5000  0.2642
Ho  0.5000  0.5000  0.7358
Pb  0.0000  0.0000  0.5000

> Which of these has the lowest energy above the lowest structure with this stoichiometry?

CePm2Gd